(1)
This record from Alexandria describes a relaxed Sc2Co5Si2W crystal. The functional is PBE.

Geometry as extended XYZ:
```
20
Lattice="-0.220 3.337 0.057 -5.803 -0.497 6.760 6.753 0.346 5.822" Properties=species:S:1:pos:R:3 pbc="T T T"
Sc -2.735 -0.275 5.581
Sc 3.685 0.123 7.001
Sc 1.180 0.025 3.075
Sc -0.230 -0.177 9.507
Co -0.871 1.588 1.801
Co 1.601 1.597 10.839
Co 4.873 1.911 5.086
Co -1.270 1.468 7.339
Co -4.144 1.275 7.553
Co 2.000 1.718 5.300
Co 1.384 1.632 7.959
Co -0.654 1.554 4.680
Co -3.012 1.420 3.408
Co 3.266 1.841 2.940
Si 3.492 0.154 4.442
Si -2.542 -0.306 8.141
Si 2.324 -0.006 9.316
Si -1.374 -0.146 3.266
W 0.000 0.000 0.000
W 0.475 -0.076 6.291
```

- SG = No. 127
- volume (Å³ per cell) = 266.3
- DOS at the Fermi energy (states/eV per cell) = 17.500
- E_form (uncorrected) (eV per atom) = -0.43


(2)
This record from Alexandria describes a relaxed Sc2ZnCo5Si2 crystal. The functional is PBE.

Geometry as extended XYZ:
```
20
Lattice="3.219 0.000 0.000 0.000 9.057 0.000 0.000 0.000 9.057" Properties=species:S:1:pos:R:3 pbc="T T T"
Sc 0.000 6.107 1.578
Sc 0.000 2.950 7.479
Sc 0.000 1.578 2.950
Sc 0.000 7.479 6.107
Zn 0.000 0.000 0.000
Zn 0.000 4.529 4.529
Co 1.610 1.906 0.601
Co 1.610 7.151 8.456
Co 1.610 0.601 7.151
Co 1.610 6.434 3.928
Co 1.610 8.456 1.906
Co 1.610 2.623 5.129
Co 1.610 5.129 6.434
Co 1.610 3.928 2.623
Co 1.610 4.529 0.000
Co 1.610 0.000 4.529
Si 0.000 1.125 5.653
Si 0.000 7.932 3.404
Si 0.000 5.653 7.932
Si 0.000 3.404 1.125
```

- SG = No. 127
- volume (Å³ per cell) = 264.1
- DOS at the Fermi energy (states/eV per cell) = 7.810
- E_form (uncorrected) (eV per atom) = -0.48


(3)
This record from Alexandria describes a relaxed Sm2ScCo9 crystal. The functional is PBE.

Geometry as extended XYZ:
```
12
Lattice="-4.251 2.464 -0.212 -3.906 -2.020 -2.203 -5.030 -3.220 6.383" Properties=species:S:1:pos:R:3 pbc="T T T"
Sm -9.117 -0.955 0.571
Sm -4.070 -1.821 3.397
Sc 0.000 0.000 0.000
Co -5.441 0.292 -1.600
Co -7.746 -3.068 5.568
Co -6.594 -1.388 1.984
Co -4.627 -0.572 0.486
Co -6.747 0.657 0.380
Co -6.575 -1.579 -0.612
Co -8.561 -2.204 3.482
Co -6.613 -1.197 4.581
Co -6.441 -3.433 3.588
```

- SG = No. 166
- energy of formation (meV/atom) = -110
- volume (Å³ per cell) = 173.2
- DOS at the Fermi energy (states/eV per cell) = 15.902